A plane-wave DFT calculation with PBE was carried out for a relaxed structure of SnGeI4.

Values from the calculation:
D(E_F): 0.0 states/eV/f.u.
Total magnetization: 0.000 Bohr magnetons per cell
Uncorrected formation energy: -2.5 eV/f.u.
Raw total energy: -0.212 Ry/atom

a b c (Å): 7.6069 4.4136 7.7400
angles (deg): 90.00 90.46 90.00
Space group P2/m (No. 10)
Unique sites:
Sn  0.0000  0.0000  0.0000
Ge  0.0000  0.5000  0.5000
I  0.2304  0.0000  0.6549
I  0.2405  0.5000  0.1864